# Pr14TmSc

A relaxed structure of Pr14TmSc (PBE, Alexandria).

Computed properties:
Uncorrected energy ... -77.4 eV per cell
Density of states at the Fermi level ... 1.457 states/eV/atom
ΔH_f (0 K) ... 0.49 kcal/mol of atoms
Calculated volume ... 34.987 Å³/atom

Cell and atoms, written as CIF:
```
data_Pr14TmSc
_chemical_formula_sum 'Pr14 Tm1 Sc1'
_cell_length_a 7.339
_cell_length_b 7.339
_cell_length_c 10.393
_cell_angle_alpha 90.00
_cell_angle_beta 90.00
_cell_angle_gamma 90.00
_symmetry_space_group_name_H-M 'P 4/m m m'
_symmetry_Int_Tables_number 123
_symmetry_space_group_name_Hall '-P 4 2'
loop_
_atom_site_label
_atom_site_fract_x
_atom_site_fract_y
_atom_site_fract_z
_atom_site_occupancy
Pr1 0.000 0.000 0.000 1
Pr2 0.000 0.500 0.000 1
Pr3 0.000 0.500 0.500 1
Pr4 0.248 0.248 0.255 1
Pr5 0.500 0.500 0.000 1
Tm1 0.500 0.500 0.500 1
Sc1 0.000 0.000 0.500 1
```